[1]
RbGa3Tc: relaxed, GGA-PBE.

a = 5.061 Å, b = 15.135 Å, c = 4.928 Å
α = 109.89°, β = 61.04°, γ = 115.19°
Fractional positions:
Ga 0.921 0.730 0.031
Rb 0.326 0.994 0.877
Tc 0.358 0.640 0.939
Ga 0.845 0.496 0.132
Tc 0.478 0.760 0.564
Ga 0.543 0.838 0.109
Rb 0.033 0.317 0.378
Ga 0.299 0.572 0.405
Ga 0.964 0.718 0.497
Ga 0.598 0.501 0.760

## Properties
The energy of formation comes out at -0.03 eV/atom. The calculated volume comes out at 29.45 A^3/atom. The energy relative to the lowest polymorph listed for this composition comes out at 11.2 kJ per mole of atoms. Its raw total energy is -4.110 eV per atom. As for the space group: P1, No. 1.

[2]
LiNd2Ru: relaxed, GGA-PBE.

a = 3.525 Å, b = 3.525 Å, c = 8.289 Å
α = 90.00°, β = 90.00°, γ = 90.00°
Fractional positions:
Nd 0.000 0.000 0.793
Ru 0.500 0.500 0.000
Nd 0.000 0.000 0.207
Li 0.500 0.500 0.500

## Properties
The energy of formation comes out at -0.09 eV/atom. The calculated volume comes out at 25.74 A^3/atom. The energy relative to the lowest polymorph listed for this composition comes out at 4.6 kJ per mole of atoms. Its raw total energy is -5.275 eV per atom. As for the space group: P4/mmm, No. 123.

[3]
AcW4Se8: relaxed, GGA-PBE.

a = 6.758 Å, b = 6.758 Å, c = 8.946 Å
α = 90.00°, β = 112.19°, γ = 120.00°
Fractional positions:
W 0.000 0.500 0.000
Se 0.977 0.744 0.211
Se 0.532 0.766 0.789
W 0.500 0.500 0.000
Se 0.023 0.256 0.789
W 0.000 0.000 0.000
Se 0.525 0.263 0.788
Se 0.023 0.766 0.789
Se 0.468 0.234 0.211
Se 0.475 0.737 0.212
Se 0.977 0.234 0.211
Ac 0.000 0.500 0.500
W 0.500 0.000 0.000

## Properties
The calculated volume comes out at 24.50 A^3/atom. Its formation energy without anion corrections is -0.347 eV/atom. Its raw total energy is -6.793 eV per atom. As for the space group: R-3m, No. 166.